Entry from Alexandria via LeMat-Bulk: a geometry-optimized Ac6IrRu2Cl3 structure (PBE).

Results
V, Å³ per cell: 384
E_form (uncorrected), meV/atom: -1047
DOS at the Fermi energy, states/eV/cell: 7.139
Calculated density, Mg/m³: 8.062

```
Ac6IrRu2Cl3
1.0
3.724 -6.453 0.000
3.724 6.453 0.000
-2.479 0.000 7.982
Ac Ir Ru Cl
6 1 2 3
Direct
0.096 0.433 0.798
0.230 0.230 0.202
0.433 0.096 0.798
0.567 0.904 0.202
0.770 0.770 0.798
0.904 0.567 0.202
0.500 0.500 0.000
0.166 0.834 0.000
0.834 0.166 0.000
0.000 0.000 0.500
0.328 0.672 0.500
0.672 0.328 0.500
```

***

Entry from Alexandria via LeMat-Bulk: a geometry-optimized Ac6Ir2RuCl2 structure (PBE).

Results
V, Å³ per cell: 381
E_form (uncorrected), meV/atom: -957
DOS at the Fermi energy, states/eV/cell: 4.889
Calculated density, Mg/m³: 8.354

```
Ac6Ir2RuCl2
1.0
3.766 -6.550 0.000
3.766 6.550 0.000
-2.479 0.000 7.728
Ac Ir Ru Cl
6 2 1 2
Direct
0.067 0.397 0.206
0.261 0.261 0.795
0.397 0.067 0.206
0.603 0.933 0.794
0.739 0.739 0.205
0.933 0.603 0.794
0.331 0.669 0.000
0.669 0.331 0.000
0.000 0.000 0.000
0.163 0.837 0.500
0.837 0.163 0.500
```

***

Entry from Alexandria via LeMat-Bulk: a geometry-optimized Ac6Ir2S3Cl structure (PBE).

Results
V, Å³ per cell: 359
E_form (uncorrected), meV/atom: -1475
DOS at the Fermi energy, states/eV/cell: 6.025
Calculated density, Mg/m³: 8.689

```
Ac6Ir2S3Cl
1.0
9.629 -2.139 0.000
9.629 2.139 0.000
-2.327 0.000 8.713
Ac Ir S Cl
6 2 3 1
Direct
0.008 0.008 0.270
0.325 0.325 0.894
0.329 0.329 0.429
0.671 0.671 0.571
0.675 0.675 0.106
0.992 0.992 0.730
0.166 0.166 0.330
0.834 0.834 0.670
0.157 0.157 0.839
0.500 0.500 0.500
0.843 0.843 0.161
0.500 0.500 0.000
```

***

Entry from Alexandria via LeMat-Bulk: a geometry-optimized Ac8Ir3S4Cl structure (PBE).

Results
V, Å³ per cell: 479
E_form (uncorrected), meV/atom: -1418
DOS at the Fermi energy, states/eV/cell: 11.904
Calculated density, Mg/m³: 8.867

```
Ac8Ir3S4Cl
1.0
4.305 2.486 7.456
-4.305 2.486 7.456
0.000 -4.971 7.456
Ac Ir S Cl
8 3 4 1
Direct
0.231 0.754 0.754
0.244 0.244 0.244
0.246 0.246 0.769
0.246 0.769 0.246
0.754 0.231 0.754
0.754 0.754 0.231
0.756 0.756 0.756
0.769 0.246 0.246
0.000 0.000 0.500
0.000 0.500 0.000
0.500 0.000 0.000
0.000 0.000 0.000
0.000 0.500 0.500
0.500 0.000 0.500
0.500 0.500 0.000
0.500 0.500 0.500
```

***

Entry from Alexandria via LeMat-Bulk: a geometry-optimized Ac8Ir3S3Cl structure (PBE).

Results
V, Å³ per cell: 476
E_form (uncorrected), meV/atom: -1231
DOS at the Fermi energy, states/eV/cell: 14.327
Calculated density, Mg/m³: 8.805

```
Ac8Ir3S3Cl
1.0
4.392 2.536 7.125
-4.392 2.536 7.125
0.000 -5.071 7.125
Ac Ir S Cl
8 3 3 1
Direct
0.229 0.758 0.758
0.242 0.242 0.771
0.242 0.771 0.242
0.243 0.243 0.243
0.757 0.757 0.757
0.758 0.229 0.758
0.758 0.758 0.229
0.771 0.242 0.242
0.000 0.000 0.500
0.000 0.500 0.000
0.500 0.000 0.000
0.000 0.500 0.500
0.500 0.000 0.500
0.500 0.500 0.000
0.500 0.500 0.500
```

***

Entry from Alexandria via LeMat-Bulk: a geometry-optimized Ac8Ir3SCl4 structure (PBE).

Results
V, Å³ per cell: 525
E_form (uncorrected), meV/atom: -1361
DOS at the Fermi energy, states/eV/cell: 6.941
Calculated density, Mg/m³: 8.113

```
Ac8Ir3SCl4
1.0
4.394 2.537 7.856
-4.394 2.537 7.856
0.000 -5.073 7.856
Ac Ir S Cl
8 3 1 4
Direct
0.221 0.742 0.742
0.234 0.234 0.234
0.258 0.258 0.779
0.258 0.779 0.258
0.742 0.221 0.742
0.742 0.742 0.221
0.766 0.766 0.766
0.779 0.258 0.258
0.000 0.000 0.500
0.000 0.500 0.000
0.500 0.000 0.000
0.500 0.500 0.500
0.000 0.000 0.000
0.000 0.500 0.500
0.500 0.000 0.500
0.500 0.500 0.000
```

***

Entry from Alexandria via LeMat-Bulk: a geometry-optimized Ac6SbIr2Cl3 structure (PBE).

Results
V, Å³ per cell: 407
E_form (uncorrected), meV/atom: -1283
DOS at the Fermi energy, states/eV/cell: 5.724
Calculated density, Mg/m³: 8.062

```
Ac6SbIr2Cl3
1.0
10.269 -2.213 0.000
10.269 2.213 0.000
-2.118 0.000 8.946
Ac Sb Ir Cl
6 1 2 3
Direct
0.025 0.025 0.266
0.321 0.321 0.439
0.330 0.330 0.886
0.670 0.670 0.114
0.679 0.679 0.561
0.975 0.975 0.734
0.500 0.500 0.000
0.173 0.173 0.332
0.827 0.827 0.668
0.132 0.132 0.795
0.500 0.500 0.500
0.868 0.868 0.205
```

***

Entry from Alexandria via LeMat-Bulk: a geometry-optimized Ac8Ir3Se4Cl structure (PBE).

Results
V, Å³ per cell: 507
E_form (uncorrected), meV/atom: -1388
DOS at the Fermi energy, states/eV/cell: 11.636
Calculated density, Mg/m³: 8.993

```
Ac8Ir3Se4Cl
1.0
4.376 2.526 7.639
-4.376 2.526 7.639
0.000 -5.053 7.639
Ac Ir Se Cl
8 3 4 1
Direct
0.225 0.752 0.752
0.240 0.240 0.240
0.248 0.248 0.775
0.248 0.775 0.248
0.752 0.225 0.752
0.752 0.752 0.225
0.760 0.760 0.760
0.775 0.248 0.248
0.000 0.000 0.500
0.000 0.500 0.000
0.500 0.000 0.000
0.000 0.000 0.000
0.000 0.500 0.500
0.500 0.000 0.500
0.500 0.500 0.000
0.500 0.500 0.500
```

***

Entry from Alexandria via LeMat-Bulk: a geometry-optimized Ac6Ir2Se3Cl structure (PBE).

Results
V, Å³ per cell: 381
E_form (uncorrected), meV/atom: -1436
DOS at the Fermi energy, states/eV/cell: 6.143
Calculated density, Mg/m³: 8.805

```
Ac6Ir2Se3Cl
1.0
9.851 -2.172 0.000
9.851 2.172 0.000
-2.472 0.000 8.897
Ac Ir Se Cl
6 2 3 1
Direct
0.012 0.012 0.266
0.326 0.326 0.885
0.327 0.327 0.435
0.673 0.673 0.565
0.674 0.674 0.115
0.988 0.988 0.734
0.167 0.167 0.332
0.833 0.833 0.668
0.157 0.157 0.841
0.500 0.500 0.500
0.843 0.843 0.159
0.500 0.500 0.000
```

***

Entry from Alexandria via LeMat-Bulk: a geometry-optimized Ac8Ir3Se3Cl structure (PBE).

Results
V, Å³ per cell: 500
E_form (uncorrected), meV/atom: -1205
DOS at the Fermi energy, states/eV/cell: 14.395
Calculated density, Mg/m³: 8.851

```
Ac8Ir3Se3Cl
1.0
4.436 2.561 7.334
-4.436 2.561 7.334
0.000 -5.122 7.334
Ac Ir Se Cl
8 3 3 1
Direct
0.223 0.756 0.756
0.240 0.240 0.240
0.244 0.244 0.777
0.244 0.777 0.244
0.756 0.223 0.756
0.756 0.756 0.223
0.760 0.760 0.760
0.777 0.244 0.244
0.000 0.000 0.500
0.000 0.500 0.000
0.500 0.000 0.000
0.000 0.500 0.500
0.500 0.000 0.500
0.500 0.500 0.000
0.500 0.500 0.500
```

***

Entry from Alexandria via LeMat-Bulk: a geometry-optimized Ac4SiIrCl2 structure (PBE).

Results
V, Å³ per cell: 264
E_form (uncorrected), meV/atom: -1163
DOS at the Fermi energy, states/eV/cell: 5.406
Calculated density, Mg/m³: 7.555

```
Ac4SiIrCl2
1.0
7.915 0.000 0.000
0.000 4.389 0.000
-2.339 0.000 7.588
Ac Si Ir Cl
4 1 1 2
Direct
0.210 0.000 0.223
0.214 0.500 0.751
0.786 0.500 0.249
0.790 0.000 0.777
0.000 0.000 0.500
0.000 0.500 0.000
0.500 0.000 0.000
0.500 0.500 0.500
```

***

Entry from Alexandria via LeMat-Bulk: a geometry-optimized Ac8SiIr3Cl4 structure (PBE).

Results
V, Å³ per cell: 531
E_form (uncorrected), meV/atom: -1203
DOS at the Fermi energy, states/eV/cell: 11.113
Calculated density, Mg/m³: 8.011

```
Ac8SiIr3Cl4
1.0
7.668 -4.428 0.000
7.668 4.428 0.000
-5.120 0.000 7.823
Ac Si Ir Cl
8 1 3 4
Direct
0.222 0.741 0.704
0.235 0.235 0.706
0.259 0.259 0.296
0.259 0.778 0.296
0.741 0.222 0.704
0.741 0.741 0.704
0.765 0.765 0.294
0.778 0.259 0.296
0.500 0.500 0.500
0.000 0.000 0.500
0.000 0.500 0.500
0.500 0.000 0.500
0.000 0.000 0.000
0.000 0.500 0.000
0.500 0.000 0.000
0.500 0.500 0.000
```

***

Entry from Alexandria via LeMat-Bulk: a geometry-optimized Ac8SnIr3Cl4 structure (PBE).

Results
V, Å³ per cell: 545
E_form (uncorrected), meV/atom: -1203
DOS at the Fermi energy, states/eV/cell: 13.095
Calculated density, Mg/m³: 8.079

```
Ac8SnIr3Cl4
1.0
9.003 0.000 0.000
4.500 7.799 0.000
0.000 5.186 7.767
Ac Sn Ir Cl
8 1 3 4
Direct
0.210 0.041 0.206
0.237 0.527 0.210
0.251 0.960 0.791
0.252 0.497 0.792
0.748 0.503 0.208
0.749 0.040 0.209
0.763 0.473 0.790
0.790 0.959 0.794
0.500 0.000 0.000
0.000 0.000 0.000
0.000 0.500 0.000
0.500 0.500 0.000
0.000 0.000 0.500
0.000 0.500 0.500
0.500 0.000 0.500
0.500 0.500 0.500
```

***

Entry from Alexandria via LeMat-Bulk: a geometry-optimized Ac3SnIrCl structure (PBE).

Results
V, Å³ per cell: 400
E_form (uncorrected), meV/atom: -919
DOS at the Fermi energy, states/eV/cell: 7.596
Calculated density, Mg/m³: 8.522

```
Ac3SnIrCl
1.0
8.330 0.000 0.000
0.000 4.693 0.000
-3.072 0.000 10.242
Ac Sn Ir Cl
6 2 2 2
Direct
0.058 0.250 0.369
0.207 0.250 0.955
0.425 0.750 0.643
0.575 0.250 0.357
0.793 0.750 0.045
0.942 0.750 0.631
0.235 0.750 0.209
0.765 0.250 0.791
0.191 0.250 0.650
0.809 0.750 0.350
0.406 0.750 0.910
0.594 0.250 0.090
```

***

Entry from Alexandria via LeMat-Bulk: a geometry-optimized Ac6SnIr2Cl3 structure (PBE).

Results
V, Å³ per cell: 413
E_form (uncorrected), meV/atom: -1213
DOS at the Fermi energy, states/eV/cell: 4.749
Calculated density, Mg/m³: 7.919

```
Ac6SnIr2Cl3
1.0
10.134 -2.229 0.000
10.134 2.229 0.000
-2.542 0.000 9.151
Ac Sn Ir Cl
6 1 2 3
Direct
0.020 0.020 0.259
0.321 0.321 0.442
0.331 0.331 0.872
0.669 0.669 0.128
0.679 0.679 0.558
0.980 0.980 0.741
0.500 0.500 0.000
0.170 0.170 0.342
0.830 0.830 0.658
0.167 0.167 0.855
0.500 0.500 0.500
0.833 0.833 0.145
```

***

Entry from Alexandria via LeMat-Bulk: a geometry-optimized Ac8Te3Ir3Cl structure (PBE).

Results
V, Å³ per cell: 541
E_form (uncorrected), meV/atom: -1074
DOS at the Fermi energy, states/eV/cell: 12.033
Calculated density, Mg/m³: 8.620

```
Ac8Te3Ir3Cl
1.0
4.496 2.596 7.732
-4.496 2.596 7.732
0.000 -5.192 7.732
Ac Te Ir Cl
8 3 3 1
Direct
0.214 0.752 0.752
0.236 0.236 0.236
0.248 0.248 0.786
0.248 0.786 0.248
0.752 0.214 0.752
0.752 0.752 0.214
0.764 0.764 0.764
0.786 0.248 0.248
0.000 0.500 0.500
0.500 0.000 0.500
0.500 0.500 0.000
0.000 0.000 0.500
0.000 0.500 0.000
0.500 0.000 0.000
0.500 0.500 0.500
```

***

Entry from Alexandria via LeMat-Bulk: a geometry-optimized Ac4Te2IrCl structure (PBE).

Results
V, Å³ per cell: 277
E_form (uncorrected), meV/atom: -1315
DOS at the Fermi energy, states/eV/cell: 5.799
Calculated density, Mg/m³: 8.328

```
Ac4Te2IrCl
1.0
7.945 0.000 0.000
0.000 4.433 0.000
-2.554 0.000 7.874
Ac Te Ir Cl
4 2 1 1
Direct
0.213 0.000 0.209
0.241 0.500 0.772
0.759 0.500 0.228
0.787 0.000 0.791
0.000 0.000 0.500
0.500 0.500 0.500
0.000 0.500 0.000
0.500 0.000 0.000
```

***

Entry from Alexandria via LeMat-Bulk: a geometry-optimized Ac3TeIrCl structure (PBE).

Results
V, Å³ per cell: 417
E_form (uncorrected), meV/atom: -1216
DOS at the Fermi energy, states/eV/cell: 5.367
Calculated density, Mg/m³: 8.260

```
Ac3TeIrCl
1.0
9.467 0.000 0.000
0.000 4.489 0.000
-1.964 0.000 9.804
Ac Te Ir Cl
6 2 2 2
Direct
0.064 0.250 0.347
0.213 0.250 0.965
0.357 0.750 0.630
0.643 0.250 0.370
0.787 0.750 0.035
0.936 0.750 0.653
0.344 0.750 0.282
0.656 0.250 0.718
0.150 0.250 0.656
0.850 0.750 0.344
0.403 0.750 0.925
0.597 0.250 0.075
```

***

Entry from Alexandria via LeMat-Bulk: a geometry-optimized K2AcCl structure (PBE).

Results
V, Å³ per cell: 522
E_form (uncorrected), meV/atom: -722
DOS at the Fermi energy, states/eV/cell: 8.741
Calculated density, Mg/m³: 3.250

```
K2AcCl
1.0
4.068 0.000 0.000
-2.034 3.523 0.000
0.000 0.000 36.433
K Ac Cl
6 3 3
Direct
0.000 0.000 0.111
0.000 0.000 0.889
0.333 0.667 0.556
0.333 0.667 0.778
0.667 0.333 0.222
0.667 0.333 0.444
0.000 0.000 0.000
0.333 0.667 0.667
0.667 0.333 0.333
0.000 0.000 0.500
0.333 0.667 0.167
0.667 0.333 0.833
```

***

Entry from Alexandria via LeMat-Bulk: a geometry-optimized KAcCl4 structure (PBE).

Results
V, Å³ per cell: 189
Polymorph energy (0 for the lowest one), meV per atom: 0
E_form (uncorrected), meV/atom: -2316
DOS at the Fermi energy, states/eV/cell: 0.000
Calculated density, Mg/m³: 3.591

```
KAcCl4
1.0
5.015 0.000 0.000
0.000 5.015 0.000
0.000 0.000 7.500
K Ac Cl
1 1 4
Direct
0.000 0.000 0.000
0.500 0.500 0.500
0.000 0.500 0.273
0.000 0.500 0.727
0.500 0.000 0.273
0.500 0.000 0.727
```